Entry 1:
A relaxed V2HgAsPb crystal. Source: Alexandria, functional PBE. Values from VASP.

Properties
Crystal system: tetragonal

The structure in Quantum ESPRESSO input format:
```
&SYSTEM
  ibrav = 0, nat = 5, ntyp = 4
/
ATOMIC_SPECIES
As 74.92 As.upf
Pb 207.20 Pb.upf
Hg 200.59 Hg.upf
V 50.94 V.upf
ATOMIC_POSITIONS crystal
As 0.0000 0.5000 0.0000
Pb 0.0000 0.0000 0.0000
Hg 0.5000 0.5000 0.5000
V 0.5000 0.0000 0.0000
V 0.0000 0.0000 0.5000
CELL_PARAMETERS angstrom
-0.1963 5.2570 -0.6837
-4.0029 -0.6048 -3.5011
-3.5160 0.3830 3.9539
```

=====

Entry 2:
A relaxed ReTcBr2 crystal. Source: Alexandria, functional PBE. Values from VASP.

Properties
ΔE to the lowest computed polymorph (meV per atom): 162
Crystal system: tetragonal
Uncorrected formation energy (eV per atom): 0.3588

The structure in Quantum ESPRESSO input format:
```
&SYSTEM
  ibrav = 0, nat = 4, ntyp = 3
/
ATOMIC_SPECIES
Re 186.21 Re.upf
Br 79.90 Br.upf
Tc 98.00 Tc.upf
ATOMIC_POSITIONS crystal
Re 0.0000 0.0000 0.5343
Br 0.5000 0.5000 0.3286
Br 0.0000 0.0000 0.9222
Tc 0.5000 0.5000 0.7149
CELL_PARAMETERS angstrom
-1.3931 2.6603 0.2903
-2.2298 -1.3351 1.5323
4.3742 1.4574 7.6355
```

=====

no.,E (eV/atom)
1,-3.99
2,-6.18